# Zr2CdCo, optimized geometry, DFT PBE-GGA
data_Zr2CdCo
_chemical_formula_sum 'Zr2 Cd1 Co1'
_space_group_name_H-M_alt 'P 1'
_space_group_IT_number 1
_space_group_name_Hall 'P 1'
_cell_length_a 9.2190
_cell_length_b 9.2190
_cell_length_c 9.2190
_cell_angle_alpha 19.93
_cell_angle_beta 19.93
_cell_angle_gamma 19.93
loop_
_atom_site_label
_atom_site_type_symbol
_atom_site_fract_x
_atom_site_fract_y
_atom_site_fract_z
Co1 Co 0.7455 0.7455 0.7455
Cd1 Cd 0.4884 0.4884 0.4884
Zr1 Zr 0.0148 0.0148 0.0148
Zr2 Zr 0.2513 0.2513 0.2513
# Raw total energy in eV/atom: -6.165
# ΔH_f (0 K) in meV per atom: 114
# ρ in g cm⁻³: 7.380

***

# Mn2BeAs, optimized geometry, DFT PBE-GGA
data_Mn2BeAs
_chemical_formula_sum 'Mn2 Be1 As1'
_space_group_name_H-M_alt 'P 1'
_space_group_IT_number 1
_space_group_name_Hall 'P 1'
_cell_length_a 2.7233
_cell_length_b 2.7233
_cell_length_c 6.4784
_cell_angle_alpha 90.00
_cell_angle_beta 90.00
_cell_angle_gamma 90.00
loop_
_atom_site_label
_atom_site_type_symbol
_atom_site_fract_x
_atom_site_fract_y
_atom_site_fract_z
Be1 Be 0.5000 0.5000 0.7500
As1 As 0.5000 0.5000 0.2500
Mn1 Mn 0.0000 0.0000 0.9737
Mn2 Mn 0.0000 0.0000 0.5263
# Offset from the most stable computed form in eV/atom: 0.1861
# Raw total energy in eV/atom: -6.535
# ΔH_f (0 K) in meV per atom: 144
# ρ in g cm⁻³: 6.698

***

# CsB2Se6S2, optimized geometry, DFT PBE-GGA
data_CsB2Se6S2
_chemical_formula_sum 'Cs1 B2 Se6 S2'
_space_group_name_H-M_alt 'P 1'
_space_group_IT_number 1
_space_group_name_Hall 'P 1'
_cell_length_a 6.3294
_cell_length_b 8.8026
_cell_length_c 9.4554
_cell_angle_alpha 129.66
_cell_angle_beta 90.43
_cell_angle_gamma 67.38
loop_
_atom_site_label
_atom_site_type_symbol
_atom_site_fract_x
_atom_site_fract_y
_atom_site_fract_z
S1 S 0.1867 0.4913 0.6068
S2 S 0.8133 0.5087 0.3932
Se1 Se 0.4610 0.4893 0.2798
Se2 Se 0.5390 0.5107 0.7202
Se3 Se 0.0502 0.4987 0.2118
Se4 Se 0.9498 0.5013 0.7882
Se5 Se 0.0401 0.9566 0.3122
Se6 Se 0.9599 0.0434 0.6878
Cs1 Cs 0.5000 0.0000 0.5000
B1 B 0.1270 0.7785 0.3951
B2 B 0.8730 0.2215 0.6049
# Raw total energy in eV/atom: -4.053
# ρ in g cm⁻³: 3.259
# Raw formation energy in meV per atom: -111